The following is a PBE calculation of an optimized crystal structure of LaPr4Ga2, from Alexandria.

- energy of formation (eV per atom) = -0.110
- magnetic moment (μB/f.u.) = 0.01
- symmetry = R-3m (166)

abc: 10.9655 10.9655 10.9655
angles: 26.70 26.70 26.70
With the nearest neighbours (Å) after each atom.
Sites, in units of the cell vectors:
La 0.0000 0.0000 0.0000  2 Ga 3.14
Pr 0.2013 0.2013 0.2013  4 Ga 3.10-3.24
Pr 0.3953 0.3953 0.3953  3 Ga 3.15, 3 La 3.52
Pr 0.6047 0.6047 0.6047  3 Ga 3.15, 3 La 3.52
Pr 0.7987 0.7987 0.7987  4 Ga 3.10-3.24
Ga 0.0991 0.0991 0.0991  7 Pr 3.10-3.24, 1 La 3.14
Ga 0.9009 0.9009 0.9009  7 Pr 3.10-3.24, 1 La 3.14